Tb3Pm2Y6Tm after structural relaxation. Source: the Alexandria database, functional PBE-GGA.

Structure (POSCAR):
```
Tb3Pm2Y6Tm
1.0
6.190 0.001 0.008
-3.092 5.362 0.008
-1.041 -1.803 11.654
Y Tb Pm Tm
6 3 2 1
Cartesian
-0.009 -0.016 8.729 Y
2.057 -0.003 2.927 Y
0.000 3.563 8.742 Y
2.066 3.577 2.940 Y
3.086 1.780 8.742 Y
-1.030 1.780 2.927 Y
4.123 -0.008 5.835 Tb
1.028 1.780 5.835 Tb
-2.067 3.568 5.835 Tb
0.004 3.574 0.008 Pm
3.093 1.789 0.008 Pm
0.000 0.000 0.000 Tm
```

Properties
As for the space group: C2/m (12). Its total energy is -5.5365 eV/atom.